Record 1
Here is a geometry-optimized Pm2BeCu4Si3 structure from Alexandria via LeMat-Bulk. Energies are from GGA-PBE.

- energy (eV per cell) = -50.71
- energy relative to the elements, uncorrected (eV/atom) = -0.483
- mass density (g/cm3) = 6.60
- size of the total moment (μB/f.u.) = 0.00

a = 4.060 Å, b = 4.060 Å, c = 9.724 Å
α = 90.00°, β = 90.00°, γ = 90.00°
Element x y z (fractional)
Pm1 0.500 0.000 0.252
Pm2 0.000 0.500 0.748
Be1 0.500 0.500 0.500
Cu1 0.500 0.500 0.000
Cu2 0.000 0.000 0.000
Cu3 0.500 0.000 0.621
Cu4 0.000 0.500 0.379
Si1 0.000 0.000 0.500
Si2 0.500 0.000 0.865
Si3 0.000 0.500 0.135

***

Record 2
Here is a geometry-optimized Cr3GeRu structure from Alexandria via LeMat-Bulk. Energies are from GGA-PBE.

- ΔE to the lowest computed polymorph (eV per atom) = 0.2258
- energy (eV per cell) = -35.53
- mass density (g/cm3) = 6.57
- size of the total moment (μB/f.u.) = 3.81
- DFT formation energy (eV per formula unit) = 7.23

a = 4.368 Å, b = 4.368 Å, c = 4.368 Å
α = 90.00°, β = 90.00°, γ = 90.00°
Element x y z (fractional)
Ru1 0.500 0.500 0.500
Ge1 0.000 0.000 0.000
Cr1 0.000 0.500 0.000
Cr2 0.000 0.000 0.500
Cr3 0.500 0.000 0.000

***

Record 3
Here is a geometry-optimized YBe2Sb structure from Alexandria via LeMat-Bulk. Energies are from GGA-PBE.

- energy (eV per cell) = -17.22
- energy relative to the elements, uncorrected (eV/atom) = 0.204
- mass density (g/cm3) = 5.16
- size of the total moment (μB/f.u.) = 0.00

a = 5.078 Å, b = 5.078 Å, c = 5.078 Å
α = 130.70°, β = 130.65°, γ = 72.33°
Element x y z (fractional)
Y1 0.250 0.750 0.500
Sb1 0.750 0.250 0.500
Be1 0.000 0.000 0.000
Be2 0.500 0.500 0.000

***

Record 4
Here is a geometry-optimized LaSc2Cd structure from Alexandria via LeMat-Bulk. Energies are from GGA-PBE.

- energy (eV per cell) = -18.61
- mass density (g/cm3) = 5.30
- size of the total moment (μB/f.u.) = 0.37
- DFT formation energy (eV per formula unit) = -0.10

a = 5.326 Å, b = 5.326 Å, c = 5.326 Å
α = 60.00°, β = 60.00°, γ = 60.00°
Element x y z (fractional)
Cd1 0.500 0.500 0.500
La1 0.750 0.750 0.750
Sc1 0.000 0.000 0.000
Sc2 0.250 0.250 0.250

***

Record 5
Here is a geometry-optimized La2FeSb structure from Alexandria via LeMat-Bulk. Energies are from GGA-PBE.

- energy (eV per cell) = -23.59
- energy relative to the elements, uncorrected (eV/atom) = -0.287
- mass density (g/cm3) = 5.91
- size of the total moment (μB/f.u.) = 0.55

a = 7.893 Å, b = 7.893 Å, c = 7.893 Å
α = 32.74°, β = 32.74°, γ = 32.74°
Element x y z (fractional)
Fe1 0.793 0.793 0.793
La1 0.040 0.040 0.040
La2 0.210 0.210 0.210
Sb1 0.457 0.457 0.457

***

Record 6
Here is a geometry-optimized Tl3AsOs structure from Alexandria via LeMat-Bulk. Energies are from GGA-PBE.

- ΔE to the lowest computed polymorph (eV per atom) = 0.7175
- energy (eV per cell) = -15.55
- mass density (g/cm3) = 9.21
- size of the total moment (μB/f.u.) = 2.55
- DFT formation energy (eV per formula unit) = 7.42

a = 5.411 Å, b = 5.411 Å, c = 5.411 Å
α = 90.00°, β = 90.00°, γ = 90.00°
Element x y z (fractional)
Tl1 0.000 0.500 0.000
Tl2 0.000 0.000 0.500
Tl3 0.500 0.000 0.000
Os1 0.500 0.500 0.500
As1 0.000 0.000 0.000

***

Record 7
Here is a geometry-optimized CoGeIN2 structure from Alexandria via LeMat-Bulk. Energies are from GGA-PBE.

- ΔE to the lowest computed polymorph (eV per atom) = 0.0296
- energy (eV per cell) = -23.06
- energy relative to the elements, uncorrected (eV/atom) = 1.373
- mass density (g/cm3) = 4.88
- size of the total moment (μB/f.u.) = 2.19

a = 3.708 Å, b = 3.708 Å, c = 7.085 Å
α = 90.00°, β = 90.00°, γ = 90.00°
Element x y z (fractional)
I1 0.000 0.000 0.500
Ge1 0.000 0.000 0.000
Co1 0.500 0.500 0.500
N1 0.000 0.500 0.000
N2 0.500 0.000 0.000

***

Record 8
Here is a geometry-optimized Be2GaPb2 structure from Alexandria via LeMat-Bulk. Energies are from GGA-PBE.

- ΔE to the lowest computed polymorph (eV per atom) = 0.0000
- energy (eV per cell) = -31.11
- mass density (g/cm3) = 8.46
- size of the total moment (μB/f.u.) = 0.00
- DFT formation energy (eV per formula unit) = 2.34

a = 6.887 Å, b = 6.887 Å, c = 4.156 Å
α = 90.00°, β = 90.00°, γ = 90.00°
Element x y z (fractional)
Pb1 0.185 0.685 0.500
Pb2 0.685 0.815 0.500
Pb3 0.815 0.315 0.500
Pb4 0.315 0.185 0.500
Be1 0.386 0.886 0.000
Be2 0.886 0.614 0.000
Be3 0.614 0.114 0.000
Be4 0.114 0.386 0.000
Ga1 0.000 0.000 0.000
Ga2 0.500 0.500 0.000

***

Record 9
Here is a geometry-optimized Hf2SnH structure from Alexandria via LeMat-Bulk. Energies are from GGA-PBE.

- ΔE to the lowest computed polymorph (eV per atom) = 0.2894
- energy (eV per cell) = -53.78
- mass density (g/cm3) = 10.14
- size of the total moment (μB/f.u.) = 0.00

a = 5.641 Å, b = 5.641 Å, c = 6.325 Å
α = 63.52°, β = 63.52°, γ = 90.00°
Element x y z (fractional)
H1 0.500 0.500 0.000
H2 0.250 0.750 0.500
Hf1 0.376 0.125 0.250
Hf2 0.374 0.625 0.250
Hf3 0.375 0.624 0.750
Hf4 0.875 0.626 0.750
Sn1 0.000 0.000 0.000
Sn2 0.750 0.250 0.500

***

Record 10
Here is a geometry-optimized CaLu2Pd structure from Alexandria via LeMat-Bulk. Energies are from GGA-PBE.

- ΔE to the lowest computed polymorph (eV per atom) = 0.0000
- energy (eV per cell) = -17.83
- mass density (g/cm3) = 7.42
- size of the total moment (μB/f.u.) = 0.00
- DFT formation energy (eV per formula unit) = -1.59

a = 3.454 Å, b = 3.454 Å, c = 9.311 Å
α = 90.00°, β = 90.00°, γ = 90.00°
Element x y z (fractional)
Ca1 0.500 0.500 0.500
Lu1 0.000 0.000 0.821
Lu2 0.000 0.000 0.179
Pd1 0.500 0.500 0.000

***

Record 11
Here is a geometry-optimized BaS2F structure from Alexandria via LeMat-Bulk. Energies are from GGA-PBE.

- ΔE to the lowest computed polymorph (eV per atom) = 0.8164
- energy (eV per cell) = -15.47
- energy relative to the elements, uncorrected (eV/atom) = -0.856
- mass density (g/cm3) = 2.66
- size of the total moment (μB/f.u.) = 1.00

a = 7.000 Å, b = 7.000 Å, c = 7.000 Å
α = 41.75°, β = 41.75°, γ = 41.75°
Element x y z (fractional)
S1 0.896 0.896 0.896
S2 0.104 0.104 0.104
Ba1 0.500 0.500 0.500
F1 0.000 0.000 0.000

***

Record 12
Here is a geometry-optimized Pm5Sm2Tm structure from Alexandria via LeMat-Bulk. Energies are from GGA-PBE.

- ΔE to the lowest computed polymorph (eV per atom) = 0.0000
- energy (eV per cell) = -75.07
- mass density (g/cm3) = 7.37
- size of the total moment (μB/f.u.) = 0.00
- DFT formation energy (eV per formula unit) = 0.13

a = 5.114 Å, b = 7.249 Å, c = 14.520 Å
α = 90.00°, β = 90.00°, γ = 90.00°
Element x y z (fractional)
Pm1 0.000 0.000 0.000
Pm2 0.000 0.500 0.500
Pm3 0.000 0.499 0.751
Pm4 0.000 0.501 0.249
Pm5 0.000 0.001 0.251
Pm6 0.000 0.999 0.749
Pm7 0.500 0.250 0.876
Pm8 0.500 0.750 0.124
Pm9 0.500 0.250 0.376
Pm10 0.500 0.750 0.624
Sm1 0.500 0.249 0.624
Sm2 0.500 0.751 0.376
Sm3 0.500 0.251 0.124
Sm4 0.500 0.749 0.876
Tm1 0.000 0.000 0.500
Tm2 0.000 0.500 0.000

***

Record 13
Here is a geometry-optimized SrLuAl4 structure from Alexandria via LeMat-Bulk. Energies are from GGA-PBE.

- energy (eV per cell) = -23.00
- mass density (g/cm3) = 4.80
- size of the total moment (μB/f.u.) = 0.00
- DFT formation energy (eV per formula unit) = -1.82

a = 5.661 Å, b = 5.661 Å, c = 5.661 Å
α = 60.00°, β = 60.00°, γ = 60.00°
Element x y z (fractional)
Sr1 0.250 0.250 0.250
Lu1 0.000 0.000 0.000
Al1 0.625 0.625 0.124
Al2 0.625 0.124 0.625
Al3 0.625 0.625 0.625
Al4 0.124 0.625 0.625

***

Record 14
Here is a geometry-optimized PmThMnN3 structure from Alexandria via LeMat-Bulk. Energies are from GGA-PBE.

- energy (eV per cell) = -105.75
- energy relative to the elements, uncorrected (eV/atom) = -1.093
- mass density (g/cm3) = 8.03
- size of the total moment (μB/f.u.) = 1.10

a = 3.569 Å, b = 7.241 Å, c = 7.606 Å
α = 94.23°, β = 90.00°, γ = 90.00°
Element x y z (fractional)
Pm1 0.750 0.856 0.834
Pm2 0.250 0.144 0.166
Th1 0.250 0.635 0.181
Th2 0.750 0.365 0.819
Mn1 0.250 0.070 0.592
Mn2 0.750 0.930 0.408
N1 0.250 0.852 0.451
N2 0.750 0.876 0.149
N3 0.750 0.396 0.133
N4 0.750 0.148 0.549
N5 0.250 0.604 0.867
N6 0.250 0.124 0.851

***

Record 15
Here is a geometry-optimized SrCe2As3 structure from Alexandria via LeMat-Bulk. Energies are from GGA-PBE.

- energy (eV per cell) = -70.91
- mass density (g/cm3) = 5.80
- size of the total moment (μB/f.u.) = 1.05
- DFT formation energy (eV per formula unit) = -7.96

a = 6.075 Å, b = 7.479 Å, c = 8.607 Å
α = 106.72°, β = 90.00°, γ = 113.96°
Element x y z (fractional)
Sr1 0.000 0.000 0.250
Sr2 0.000 0.000 0.750
Ce1 0.335 0.671 0.418
Ce2 0.335 0.671 0.918
Ce3 0.665 0.329 0.082
Ce4 0.665 0.329 0.582
As1 0.500 0.000 0.750
As2 0.500 0.000 0.250
As3 0.819 0.637 0.909
As4 0.181 0.363 0.591
As5 0.819 0.637 0.409
As6 0.181 0.363 0.091

***

Record 16
Here is a geometry-optimized GdYBeRu structure from Alexandria via LeMat-Bulk. Energies are from GGA-PBE.

- energy (eV per cell) = -33.98
- mass density (g/cm3) = 7.29
- size of the total moment (μB/f.u.) = 6.98
- DFT formation energy (eV per formula unit) = -0.43

a = 4.859 Å, b = 4.859 Å, c = 4.859 Å
α = 60.00°, β = 60.00°, γ = 60.00°
Element x y z (fractional)
Y1 0.750 0.750 0.750
Ru1 0.500 0.500 0.500
Gd1 0.250 0.250 0.250
Be1 0.000 0.000 0.000

***

Record 17
Here is a geometry-optimized TlSiRu2 structure from Alexandria via LeMat-Bulk. Energies are from GGA-PBE.

- ΔE to the lowest computed polymorph (eV per atom) = 0.1202
- energy (eV per cell) = -25.96
- energy relative to the elements, uncorrected (eV/atom) = 0.095
- mass density (g/cm3) = 11.25
- size of the total moment (μB/f.u.) = 0.00

a = 3.761 Å, b = 3.013 Å, c = 5.899 Å
α = 73.62°, β = 90.00°, γ = 90.00°
Element x y z (fractional)
Ru1 0.000 0.105 0.040
Ru2 0.000 0.395 0.460
Si1 0.500 0.250 0.250
Tl1 0.500 0.750 0.750

***

Record 18
Here is a geometry-optimized SrPtCl5 structure from Alexandria via LeMat-Bulk. Energies are from GGA-PBE.

- energy (eV per cell) = -51.21
- energy relative to the elements, uncorrected (eV/atom) = -1.236
- mass density (g/cm3) = 4.19
- size of the total moment (μB/f.u.) = 0.00

a = 6.540 Å, b = 6.540 Å, c = 10.135 Å
α = 94.96°, β = 106.43°, γ = 115.32°
Element x y z (fractional)
Sr1 0.723 0.473 0.250
Sr2 0.277 0.527 0.750
Pt1 0.000 0.000 0.000
Pt2 0.500 0.000 0.500
Cl1 0.770 0.060 0.124
Cl2 0.122 0.797 0.522
Cl3 0.564 0.354 0.624
Cl4 0.297 0.047 0.250
Cl5 0.775 0.600 0.978
Cl6 0.225 0.400 0.022
Cl7 0.703 0.953 0.750
Cl8 0.436 0.646 0.376
Cl9 0.878 0.203 0.478
Cl10 0.230 0.940 0.876

***

Record 19
Here is a geometry-optimized Na2B8O13 structure from Alexandria via LeMat-Bulk. Energies are from GGA-PBE.

- ΔE to the lowest computed polymorph (eV per atom) = 0.0050
- energy (eV per cell) = -703.39
- energy relative to the elements, uncorrected (eV/atom) = -2.406
- mass density (g/cm3) = 2.20
- size of the total moment (μB/f.u.) = 0.00

a = 8.402 Å, b = 10.704 Å, c = 11.600 Å
α = 100.03°, β = 90.00°, γ = 90.00°
Element x y z (fractional)
Na1 0.950 0.519 0.113
Na2 0.566 0.004 0.111
Na3 0.375 0.711 0.431
Na4 0.249 0.202 0.355
Na5 0.875 0.289 0.569
Na6 0.749 0.798 0.645
Na7 0.450 0.481 0.887
Na8 0.066 0.996 0.889
B1 0.670 0.692 0.056
B2 0.821 0.199 0.064
B3 0.375 0.344 0.104
B4 0.550 0.532 0.164
B5 0.107 0.837 0.091
B6 0.953 0.035 0.163
B7 0.011 0.268 0.217
B8 0.574 0.339 0.253
B9 0.488 0.764 0.216
B10 0.891 0.665 0.370
B11 0.921 0.838 0.248
B12 0.063 0.476 0.373
B13 0.616 0.160 0.366
B14 0.440 0.972 0.373
B15 0.821 0.522 0.500
B16 0.321 0.478 0.500
B17 0.682 0.016 0.499
B18 0.182 0.984 0.501
B19 0.563 0.524 0.627
B20 0.391 0.335 0.630
B21 0.940 0.028 0.627
B22 0.074 0.661 0.747
B23 0.116 0.840 0.634
B24 0.511 0.732 0.783
B25 0.421 0.162 0.752
B26 0.988 0.236 0.784
B27 0.050 0.468 0.836
B28 0.875 0.656 0.896
B29 0.453 0.965 0.837
B30 0.607 0.163 0.909
B31 0.170 0.308 0.944
B32 0.321 0.801 0.936
O1 0.262 0.274 0.032
O2 0.670 0.574 0.083
O3 0.427 0.459 0.088
O4 0.217 0.766 0.018
O5 0.914 0.296 0.125
O6 0.829 0.078 0.085
O7 0.071 0.959 0.085
O8 0.477 0.643 0.238
O9 0.442 0.282 0.190
O10 0.577 0.789 0.119
O11 0.628 0.454 0.239
O12 0.094 0.362 0.285
O13 0.031 0.146 0.233
O14 0.030 0.771 0.169
O15 0.998 0.580 0.316
O16 0.877 0.958 0.241
O17 0.408 0.858 0.286
O18 0.650 0.273 0.329
O19 0.503 0.077 0.314
O20 0.216 0.522 0.427
O21 0.808 0.644 0.470
O22 0.854 0.777 0.332
O23 0.948 0.445 0.460
O24 0.288 0.021 0.426
O25 0.702 0.135 0.462
O26 0.555 0.941 0.460
O27 0.448 0.555 0.540
O28 0.308 0.356 0.530
O29 0.716 0.478 0.573
O30 0.055 0.059 0.540
O31 0.150 0.727 0.671
O32 0.202 0.865 0.538
O33 0.788 0.979 0.574
O34 0.498 0.420 0.684
O35 0.354 0.223 0.668
O36 0.594 0.638 0.715
O37 0.128 0.546 0.761
O38 0.003 0.923 0.686
O39 0.942 0.718 0.810
O40 0.977 0.357 0.762
O41 0.908 0.142 0.714
O42 0.377 0.042 0.759
O43 0.414 0.704 0.875
O44 0.530 0.229 0.831
O45 0.531 0.854 0.767
O46 0.927 0.541 0.912
O47 0.170 0.426 0.917
O48 0.077 0.211 0.881
O49 0.762 0.726 0.968
O50 0.571 0.041 0.915
O51 0.329 0.922 0.915
O52 0.717 0.234 0.982

***

Record 20
Here is a geometry-optimized KTlTc2 structure from Alexandria via LeMat-Bulk. Energies are from GGA-PBE.

- ΔE to the lowest computed polymorph (eV per atom) = 0.8089
- energy (eV per cell) = -19.02
- mass density (g/cm3) = 9.18
- size of the total moment (μB/f.u.) = 0.00
- DFT formation energy (eV per formula unit) = 5.18

a = 5.522 Å, b = 6.026 Å, c = 2.755 Å
α = 80.11°, β = 82.87°, γ = 115.46°
Element x y z (fractional)
K1 0.500 0.500 0.000
Tc1 0.000 0.000 0.000
Tc2 0.500 0.000 0.500
Tl1 0.000 0.500 0.500